Here is an optimized crystal structure of DyGePt2 from OQMD via LeMat-Bulk. Energies are from PBE.

abc: 4.1196 5.6967 6.9750
angles: 90.00 90.00 90.00
Last column: nearest neighbours and their distance in Å.
Positions (direct):
Ge  0.5000  0.6630  0.2117  3 Pt 2.50-2.51
Ge  0.5000  0.3370  0.7117  3 Pt 2.50-2.51
Dy  0.0000  0.8251  0.8220  7 Pt 2.79-3.06
Dy  0.0000  0.1749  0.3220  7 Pt 2.79-3.06
Pt  0.5000  0.9465  0.5487  1 Ge 2.50
Pt  0.0000  0.3494  0.9176  2 Ge 2.51, 1 Dy 2.79
Pt  0.0000  0.6506  0.4176  2 Ge 2.51, 1 Dy 2.79
Pt  0.5000  0.0535  0.0487  1 Ge 2.50

Values from the calculation:
- crystal system = orthorhombic
- total magnetization (μB/atom) = 0.004
- energy (eV per atom) = -6.14